Entry 1:
{
  "formula": "ZnCrW",
  "functional": "PBE-GGA",
  "state": "relaxed",
  "lattice": [[-2.171, -3.842, -1.484], [2.500, -3.924, -0.181], [-1.757, 3.436, 2.606]],
  "species": ["Cr", "W", "Zn"],
  "fractional_positions": [[0.003, 0.003, 0.000], [0.332, 0.332, 0.000], [0.665, 0.665, 0.000]],
  "vol_a3_per_atom": 14.0,
  "delta_e_f_ev_per_atom": 0.286,
  "n_ef_per_ev_fu": 1.27,
  "final_energy_ev_per_atom": -7.664
}

=====

Entry 2:
{
  "formula": "ZnCrW",
  "functional": "PBE-GGA",
  "state": "relaxed",
  "lattice": [[4.113, 0.000, 0.000], [2.057, 3.562, 0.000], [2.057, 1.187, 3.359]],
  "species": ["Zn", "W", "Cr"],
  "fractional_positions": [[0.500, 0.500, 0.500], [0.000, 0.000, 0.000], [0.750, 0.750, 0.750]],
  "vol_a3_per_atom": 16.4,
  "delta_e_f_ev_per_atom": 0.895,
  "n_ef_per_ev_fu": 1.36,
  "final_energy_ev_per_atom": -7.056
}

=====

Entry 3:
{
  "formula": "ZnCr3W",
  "functional": "PBE-GGA",
  "state": "relaxed",
  "lattice": [[4.686, 0.000, 0.000], [0.000, 4.686, 0.000], [0.000, 0.000, 4.686]],
  "species": ["Cr", "Cr", "W", "Zn", "Cr"],
  "fractional_positions": [[0.000, 0.500, 0.000], [0.500, 0.000, 0.000], [0.000, 0.000, 0.000], [0.500, 0.500, 0.500], [0.000, 0.000, 0.500]],
  "vol_a3_per_atom": 20.6,
  "delta_e_f_ev_per_atom": 1.529,
  "n_ef_per_ev_fu": 2.65,
  "final_energy_ev_per_atom": -7.091
}

=====

Entry 4:
{
  "formula": "Zn4CrW",
  "functional": "PBE-GGA",
  "state": "relaxed",
  "lattice": [[0.000, 3.470, 3.470], [3.470, 0.000, 3.470], [3.470, 3.470, 0.000]],
  "species": ["Zn", "Cr", "Zn", "Zn", "Zn", "W"],
  "fractional_positions": [[0.625, 0.625, 0.125], [0.250, 0.250, 0.250], [0.625, 0.125, 0.625], [0.125, 0.625, 0.625], [0.625, 0.625, 0.625], [0.000, 0.000, 0.000]],
  "vol_a3_per_atom": 13.9,
  "delta_e_f_ev_per_atom": 0.233,
  "n_ef_per_ev_fu": 2.26,
  "final_energy_ev_per_atom": -4.379
}